Compound: La5Er5Ge6
Source: Alexandria
Functional: GGA-PBEsol
Structure: relaxed

## Properties
- energy of formation (eV/f.u.) = -11.9
- density of states at the Fermi level (states/eV per atom) = 1.056
- calculated volume (Å³/cell) = 830.8

Lattice parameters (Å, degrees): 6.4205 14.8611 8.7069 90.00 90.00 90.00
Space group Amm2 (No. 38)
One atom of each set of equivalent atoms:
La (0.0000, 0.0000, 0.0000)
La (0.0000, 0.1217, 0.3758)
La (0.5000, 0.1240, 0.1276)
Er (0.2504, 0.1664, 0.7523)
Er (0.5000, 0.0000, 0.5105)
Ge (0.0000, 0.0000, 0.6508)
Ge (0.0000, 0.2001, 0.0541)
Ge (0.5000, 0.0000, 0.8484)
Ge (0.5000, 0.1925, 0.4549)